# 1
Pm13Tm3, optimized geometry, DFT PBE-GGA; final energy = -4.6690 eV/atom; formation energy = 0.0293 eV per atom; SG = Amm2 (38); offset from the most stable computed form = 14 meV per atom
1.0
-3.9391 -0.5589 6.1632
-4.9546 -5.9867 -3.7096
5.7182 -5.6179 3.1452
Pm Tm
13 3
Cartesian
1.0214 -8.7066 -0.1368 Pm
-3.0039 -6.2365 4.0654 Pm
0.6534 -6.0043 4.2388 Pm
-1.0323 -5.9568 0.9806 Pm
-4.9962 -3.3636 3.0644 Pm
-2.7477 -5.9105 -2.2922 Pm
-1.3466 -3.1194 3.2222 Pm
-4.6099 -9.2350 2.7788 Pm
-2.6277 -8.9537 -0.3226 Pm
-0.9587 -9.0141 2.9355 Pm
-3.0140 -3.0823 -0.0371 Pm
0.6371 -2.8671 0.1472 Pm
-4.7077 -6.1896 0.7955 Pm
2.6329 -5.7245 1.1636 Tm
2.2983 -6.0536 7.4771 Tm
4.2756 -5.7730 4.3834 Tm

---

# 2
LaMg2, optimized geometry, DFT PBE-GGA; final energy = -2.6548 eV/atom; formation energy = 0.0507 eV per atom; SG = P-62m (189)
1.0
6.0321 7.3930 -0.4398
-7.2253 -0.6449 -6.2141
-1.9022 1.6733 2.0381
Mg La
6 3
Cartesian
-5.8872 0.3961 -3.2263 Mg
-1.3291 2.9746 -1.0891 Mg
3.1699 5.8874 0.7186 Mg
2.1715 2.6614 -0.1583 Mg
-0.7637 4.3189 -4.2586 Mg
-2.6010 -0.2322 -2.2370 Mg
0.0000 0.0000 0.0000 La
0.6618 5.5504 -1.3456 La
-3.7573 2.8710 -3.2703 La

---

# 3
NdY2Rh2, optimized geometry, DFT PBE-GGA; final energy = -7.0484 eV/atom; formation energy = -0.5686 eV per atom; SG = Cmcm (63); offset from the most stable computed form = 85 meV per atom
1.0
4.0867 0.0000 -0.6265
0.0000 4.7442 0.0000
-0.1496 0.0000 12.6659
Rh Y Nd
4 4 2
Cartesian
0.6640 1.1861 4.3310 Rh
1.7817 1.1861 11.6212 Rh
3.2732 3.5582 7.7083 Rh
2.1555 3.5582 0.4181 Rh
0.9474 3.5582 6.1793 Y
0.2024 1.1861 1.3201 Y
3.7348 3.5582 10.7193 Y
2.9898 1.1861 5.8600 Y
1.3818 1.1861 9.0132 Nd
2.5553 3.5582 3.0262 Nd

---

# 4
NdTmGePt, optimized geometry, DFT PBE-GGA; final energy = -6.0047 eV/atom; formation energy = -1.0303 eV per atom; SG = Amm2 (38); offset from the most stable computed form = 0 meV per atom
1.0
3.9680 0.0000 0.0000
0.0000 4.2838 0.0000
-1.9840 0.0000 5.5378
Tm Ge Pt Nd
1 1 1 1
Cartesian
1.9840 2.1419 4.0521 Tm
1.9840 2.1419 0.8398 Ge
0.0000 0.0000 4.5935 Pt
0.0000 0.0000 1.5901 Nd

---

# 5
LaTiCu, optimized geometry, DFT PBE-GGA; final energy = -5.5453 eV/atom; formation energy = 0.0942 eV per atom; SG = C2/m (12); offset from the most stable computed form = 81 meV per atom
1.0
-3.0536 -2.8354 -1.3010
3.6036 -3.9101 0.0727
-0.8551 1.4468 6.1736
La Cu Ti
2 2 2
Cartesian
0.8329 -3.7931 4.5648 La
-0.3676 -1.3341 2.0233 La
-0.3461 -3.5327 -0.5561 Cu
1.6665 -3.0374 0.9651 Cu
-0.2599 -4.6962 1.7770 Ti
0.7266 -0.4304 4.8073 Ti

---

# 6
Pr5Bi2N, optimized geometry, DFT PBE-GGA; final energy = -5.6234 eV/atom; uncorrected formation energy = -625 meV per atom; SG = Cmcm (63)
1.0
-1.8981 -1.6003 5.4006
1.2104 -4.1436 -4.0733
15.0455 -0.6219 5.1036
Bi N Pr
4 2 10
Cartesian
14.3616 -3.0646 4.1394 Bi
8.4685 -2.8210 2.1404 Bi
-0.0038 -3.3011 2.2914 Bi
5.8894 -3.5447 4.2904 Bi
10.4661 -3.7438 5.8400 N
3.8918 -2.6220 0.5909 N
5.6970 -4.2748 0.7356 Pr
2.0853 -0.9720 0.4449 Pr
2.2539 -4.1325 -0.4324 Pr
8.8266 -5.2512 4.8171 Pr
5.5313 -1.1145 1.6138 Pr
12.2725 -5.3937 5.9860 Pr
8.6609 -2.0909 5.6953 Pr
12.1040 -2.2332 6.8632 Pr
11.4151 -2.9426 3.1400 Pr
2.9428 -3.4231 3.2909 Pr

---

# 7
Pm5Y3As8, optimized geometry, DFT PBE-GGA; final energy = -6.5560 eV/atom; formation energy = -1.5347 eV per atom; SG = R-3m (166)
1.0
-7.6315 3.4129 -0.7500
-6.5063 -4.7468 -2.3635
-6.0180 -1.9219 5.5225
As Y Pm
8 3 5
Cartesian
-11.3032 -4.1608 2.1469 As
-15.1082 -2.4321 1.7633 As
-8.8525 0.9050 0.2620 As
-11.8708 -0.0449 2.9608 As
-8.2850 -3.2109 -0.5518 As
-12.1344 -1.4894 -0.9301 As
-8.0214 -1.7664 3.3391 As
-5.0476 -0.8237 0.6457 As
-6.2621 -3.3343 1.5795 Y
-3.0090 -0.9609 2.7612 Y
-6.8247 0.7455 2.3862 Y
-7.0689 -0.6669 -1.5568 Pm
-10.0779 -1.6279 1.2045 Pm
0.0000 0.0000 0.0000 Pm
-3.8158 1.7065 -0.3750 Pm
-3.2531 -2.3734 -1.1818 Pm

---

# 8
HfBeCI2, optimized geometry, DFT PBE-GGA; final energy = -4.1981 eV/atom; uncorrected formation energy = 1003 meV per atom; SG = P4/mmm (123)
1.0
5.8580 0.0000 0.0000
0.0000 5.8580 0.0000
0.0000 0.0000 4.0651
Be Hf I C
1 1 2 1
Cartesian
2.9290 2.9290 2.0325 Be
0.0000 0.0000 0.0000 Hf
0.0000 2.9290 0.0000 I
2.9290 0.0000 0.0000 I
0.0000 0.0000 2.0325 C

---

# 9
CeNd4Er5, optimized geometry, DFT PBE-GGA; final energy = -4.5384 eV/atom; formation energy = 0.2435 eV per atom; SG = C2/m (12)
1.0
1.2166 -5.3387 -1.9587
8.3608 -1.1164 8.2369
-8.0557 1.3302 0.0032
Er Ce Nd
5 1 4
Cartesian
3.1712 -4.6225 5.9366 Er
-2.2462 -3.9028 0.6096 Er
-3.2669 -1.8973 3.1423 Er
-1.6494 -0.5024 0.3448 Er
3.7681 -1.2220 5.6718 Er
-7.4473 -1.3391 -0.9762 Ce
6.3834 -3.8125 5.7241 Nd
-4.8616 -1.3124 0.5573 Nd
0.5780 -4.2441 3.2941 Nd
0.9438 -0.8808 2.9872 Nd

---

# 10
KTlZn2, optimized geometry, DFT PBE-GGA; final energy = -1.4161 eV/atom; formation energy = 0.0868 eV per atom; SG = R-3m (166); offset from the most stable computed form = 63 meV per atom
1.0
6.7242 0.0140 0.0089
5.0048 4.4908 0.0089
5.0048 1.9222 4.0586
Zn K Tl
2 1 1
Cartesian
0.8361 0.3211 0.2037 Zn
7.5308 2.8924 1.8345 Zn
4.1834 1.6068 1.0191 K
12.5503 4.8203 3.0573 Tl

---

# 11
TlAg3Pd2, optimized geometry, DFT PBE-GGA; final energy = -3.6084 eV/atom; formation energy = -0.0574 eV per atom; SG = C2/c (15); offset from the most stable computed form = 0 meV per atom
1.0
4.9746 -0.3492 -1.0132
-1.5411 4.7427 -1.0132
0.0556 0.0712 9.2450
Tl Ag Pd
2 6 4
Cartesian
-0.7103 4.1221 1.2980 Tl
4.1993 0.3427 5.9205 Tl
3.1290 2.3238 3.9957 Ag
0.3601 2.1409 3.2228 Ag
2.5446 1.5785 1.2980 Ag
0.9445 2.8863 5.9205 Ag
1.4708 3.5623 -0.6268 Ag
2.0182 0.9024 7.8453 Ag
3.7212 3.0831 6.7667 Pd
2.0645 4.3204 2.1442 Pd
1.4246 0.1443 5.0744 Pd
-0.2321 1.3817 0.4519 Pd

---

# 12
Pu6HN8, optimized geometry, DFT PBE-GGA; final energy = -11.4943 eV/atom; SG = R-3 (148)
1.0
-1.4456 3.8800 -4.9913
-2.8865 -2.4369 -5.2713
-6.4717 1.5273 -1.1515
N Pu H
8 6 1
Cartesian
-3.6786 2.2623 -4.3397 N
-5.7275 3.7738 -5.3914 N
-5.1790 2.5239 -7.7843 N
-9.2306 2.4625 -8.0516 N
-5.6248 0.4465 -3.6299 N
-1.5732 0.5079 -3.3626 N
-7.1252 0.7081 -7.0744 N
-5.0763 -0.8034 -6.0227 N
-7.1825 2.9471 -6.8490 Pu
-3.7085 3.3322 -6.2837 Pu
-5.1006 0.3145 -7.9764 Pu
-3.6214 0.0233 -4.5652 Pu
-7.0953 -0.3617 -5.1304 Pu
-5.7033 2.6559 -3.4377 Pu
0.0000 0.0000 0.0000 H

---

# 13
Rb4Ce3CuTe8, optimized geometry, DFT PBE-GGA; final energy = -4.2426 eV/atom; uncorrected formation energy = -1061 meV per atom; SG = C2/m (12)
1.0
-5.4366 6.2921 -3.4958
-7.9185 -5.8900 1.7133
5.3808 2.1824 7.1979
Ce Rb Te Cu
3 4 8 1
Cartesian
-6.6776 0.2010 -0.8913 Ce
-1.2689 -1.8538 4.4556 Ce
-3.9872 1.2922 2.7077 Ce
2.6904 1.0912 3.5990 Rb
-0.0279 4.2372 1.8510 Rb
0.0000 0.0000 0.0000 Rb
-2.7183 3.1460 -1.7479 Rb
-3.6702 -0.2182 -0.0628 Te
-3.6761 4.1556 1.5587 Te
-4.2983 -1.5711 3.8567 Te
-1.3798 -0.5819 7.3586 Te
-0.9153 1.1051 3.4125 Te
-7.0591 1.4794 2.0029 Te
-4.3042 2.8026 5.4782 Te
-6.5945 3.1664 -1.9432 Te
-3.9592 -2.9450 0.8567 Cu

---

# 14
YZn2Rh, optimized geometry, DFT PBE-GGA; final energy = -4.4616 eV/atom; formation energy = -0.3707 eV per atom; SG = Pmmm (47)
1.0
3.1253 0.0000 0.0000
0.0000 3.6651 0.0000
0.0000 0.0000 6.1910
Zn Y Rh
2 1 1
Cartesian
0.0000 0.0000 2.7873 Zn
0.0000 0.0000 0.3082 Zn
1.5627 1.8326 4.6433 Y
1.5627 1.8326 1.5478 Rh

---

# 15
Sm3YHoTh, optimized geometry, DFT PBE-GGA; final energy = -5.4069 eV/atom; formation energy = 0.0296 eV per atom; SG = P2_1/m (11)
1.0
-2.2966 -2.5485 -3.7585
-2.0536 -5.7887 5.1801
-7.0200 8.1202 -1.2165
Th Sm Y Ho
2 6 2 2
Cartesian
-8.6569 3.0277 -1.9306 Th
-2.7134 -3.2447 2.1357 Th
-7.4114 2.2380 1.2888 Sm
-5.0697 -0.5630 1.7571 Sm
-3.8163 -6.5685 1.6184 Sm
-6.3006 0.3460 -1.5520 Sm
-3.9589 -2.4550 -1.0837 Sm
-7.5539 6.3515 -1.4134 Sm
-2.8777 1.0298 -0.6623 Y
-8.4925 -1.2469 0.8674 Y
-6.1271 -3.9444 1.2511 Ho
-5.2431 3.7274 -1.0461 Ho

---

# 16
LaTaH2N, optimized geometry, DFT PBE-GGA; final energy = -7.0241 eV/atom; SG = P4/mmm (123)
1.0
3.8325 0.0000 0.0000
0.0000 3.8325 0.0000
0.0000 0.0000 4.1913
Ta H La N
1 2 1 1
Cartesian
0.0000 0.0000 0.0000 Ta
0.0000 1.9163 0.0000 H
1.9163 0.0000 0.0000 H
1.9163 1.9163 2.0956 La
0.0000 0.0000 2.0956 N

---

# 17
CsTiTe2I, optimized geometry, DFT PBE-GGA; final energy = -4.0735 eV/atom; uncorrected formation energy = -757 meV per atom; SG = P4/mmm (123); offset from the most stable computed form = 0 meV per atom
1.0
-2.5127 -4.7804 -0.5632
4.5813 -2.1802 -1.9343
1.6648 -1.5448 5.6841
Cs Te Ti I
1 2 1 1
Cartesian
1.8667 -4.2527 1.5933 Cs
-1.2564 -2.3902 -0.2816 Te
2.2907 -1.0901 -0.9672 Te
0.0000 0.0000 0.0000 Ti
0.8324 -0.7724 2.8421 I

---

# 18
ScTa2Be9, optimized geometry, DFT PBE-GGA; final energy = -5.5128 eV/atom; formation energy = -0.2151 eV per atom; SG = P6_3/mmc (194)
1.0
4.6037 0.0000 0.0000
-2.3019 3.9869 0.0000
0.0000 0.0000 14.3248
Be Ta Sc
18 4 2
Cartesian
-1.1270 3.3086 1.7910 Be
0.0000 0.0000 3.5812 Be
0.0000 2.6580 3.5812 Be
0.0000 0.0000 0.0000 Be
2.3019 2.6303 8.9534 Be
1.1270 3.3086 1.7910 Be
2.3019 1.3290 10.7436 Be
3.4289 0.6783 8.9534 Be
1.1749 0.6783 8.9534 Be
1.1749 0.6783 12.5338 Be
1.1270 3.3086 5.3714 Be
3.4289 0.6783 12.5338 Be
2.3019 2.6303 12.5338 Be
0.0000 0.0000 7.1624 Be
0.0000 1.3566 5.3714 Be
0.0000 0.0000 10.7436 Be
-1.1270 3.3086 5.3714 Be
0.0000 1.3566 1.7910 Be
2.3019 1.3290 6.6518 Ta
2.3019 1.3290 0.5106 Ta
0.0000 2.6580 13.8142 Ta
0.0000 2.6580 7.6730 Ta
0.0000 2.6580 10.7436 Sc
2.3019 1.3290 3.5812 Sc

---

# 19
Ce4Sm3ErS8, optimized geometry, DFT PBE-GGA; final energy = -6.7479 eV/atom; uncorrected formation energy = -2031 meV per atom; SG = R-3m (166)
1.0
-1.0175 -3.3567 7.1766
6.2028 -4.8740 -1.4003
0.9330 7.9095 -0.6136
Sm S Ce Er
3 8 4 1
Cartesian
2.5926 -4.1154 2.8882 Sm
3.5679 1.5177 -1.0069 Sm
3.0592 -0.1606 2.5813 Sm
4.8171 -0.5758 0.4137 S
1.3012 0.2546 4.7490 S
4.3426 -2.2168 4.0243 S
1.3442 -2.0665 1.4030 S
0.8255 -3.7779 5.0619 S
1.7757 1.8956 1.1384 S
4.7741 1.7453 3.7596 S
5.2928 3.4566 0.1008 S
0.4665 3.9548 -0.3068 Ce
0.0000 0.0000 0.0000 Ce
-0.5088 -1.6783 3.5883 Ce
-0.0423 2.2764 3.2815 Ce
3.1014 -2.4370 -0.7001 Er

---

# 20
YAl2Fe, optimized geometry, DFT PBE-GGA; final energy = -5.5440 eV/atom; formation energy = 0.0589 eV per atom; SG = Cmmm (65)
1.0
-0.4469 2.7486 -4.3850
-4.4581 -0.2711 2.6523
0.7467 2.5201 1.5070
Y Al Fe
1 2 1
Cartesian
-1.8557 1.1245 2.0797 Y
0.0000 0.0000 0.0000 Al
-2.4525 1.2388 -0.8664 Al
0.1499 2.6344 -1.4390 Fe

---

# 21
ReSb2Rh, optimized geometry, DFT PBE-GGA; final energy = -6.8365 eV/atom; uncorrected formation energy = 175 meV per atom; SG = Cm (8); offset from the most stable computed form = 25 meV per atom
1.0
-4.1790 0.7432 2.8180
-2.8833 -2.2920 3.5200
1.8423 1.6823 3.8729
Re Rh Sb
1 1 2
Cartesian
-2.3276 0.2345 5.3096 Re
-1.5602 -0.1230 2.3477 Rh
-6.9152 -1.4214 6.6169 Sb
-4.0895 -0.0386 7.3801 Sb

---

# 22
Pm4PRhSe2, optimized geometry, DFT PBE-GGA; final energy = -6.3031 eV/atom; uncorrected formation energy = -1462 meV per atom; SG = P2/m (10)
1.0
-0.4342 -1.0685 -3.9519
1.8606 -6.8186 1.6391
-7.2787 0.6426 0.6259
P Pm Rh Se
1 4 1 2
Cartesian
0.0000 0.0000 0.0000 P
-4.4235 -5.1811 -0.2575 Pm
-1.4288 -2.0635 -1.4294 Pm
-5.1248 -1.2625 0.9044 Pm
-0.2933 -4.9135 1.3607 Pm
0.7132 -3.9435 -1.1564 Rh
-3.8564 -0.2130 -1.6630 Se
-2.7090 -3.0880 1.1325 Se

---

Number 1: ρ 7.33 Mg/m³, spin magnetization 0.00 μB/f.u., D(E_F) 27.81 states/eV/cell. Number 2: ρ 3.64 Mg/m³, spin magnetization 0.20 μB/f.u., D(E_F) 4.95 states/eV/cell. Number 3: ρ 7.15 Mg/m³, spin magnetization 0.00 μB/f.u., D(E_F) 7.94 states/eV/cell. Number 4: ρ 10.25 Mg/m³, spin magnetization 0.00 μB/f.u., D(E_F) 1.43 states/eV/cell. Number 5: ρ 6.16 Mg/m³, spin magnetization 0.00 μB/f.u., D(E_F) 6.38 states/eV/cell. Number 6: ρ 7.77 Mg/m³, spin magnetization 0.00 μB/f.u., D(E_F) 14.13 states/eV/cell. Number 7: ρ 6.32 Mg/m³, spin magnetization 0.00 μB/f.u., D(E_F) 2.22 states/eV/cell. Number 8: ρ 5.40 Mg/m³, spin magnetization 0.00 μB/f.u., D(E_F) 5.52 states/eV/cell. Number 9: ρ 7.66 Mg/m³, spin magnetization 1.16 μB/f.u., D(E_F) 20.28 states/eV/cell. Number 10: ρ 5.09 Mg/m³, spin magnetization 0.00 μB/f.u., D(E_F) 1.38 states/eV/cell. Number 11: ρ 11.50 Mg/m³, spin magnetization 0.00 μB/f.u., D(E_F) 3.51 states/eV/cell. Number 12: ρ 12.81 Mg/m³, spin magnetization 23.00 μB/f.u., D(E_F) 31.74 states/eV/cell. Number 13: ρ 4.97 Mg/m³, spin magnetization 1.29 μB/f.u., D(E_F) 17.77 states/eV/cell. Number 14: ρ 7.55 Mg/m³, spin magnetization 0.00 μB/f.u., D(E_F) 2.85 states/eV/cell. Number 15: ρ 7.88 Mg/m³, spin magnetization 0.00 μB/f.u., D(E_F) 17.44 states/eV/cell. Number 16: ρ 9.06 Mg/m³, spin magnetization 0.00 μB/f.u., D(E_F) 2.51 states/eV/cell. Number 17: ρ 5.18 Mg/m³, spin magnetization 0.39 μB/f.u., D(E_F) 2.70 states/eV/cell. Number 18: ρ 6.16 Mg/m³, spin magnetization 0.00 μB/f.u., D(E_F) 8.86 states/eV/cell. Number 19: ρ 6.58 Mg/m³, spin magnetization 2.87 μB/f.u., D(E_F) 22.21 states/eV/cell. Number 20: ρ 4.37 Mg/m³, spin magnetization 2.52 μB/f.u., D(E_F) 3.33 states/eV/cell. Number 21: ρ 12.08 Mg/m³, spin magnetization 0.00 μB/f.u., D(E_F) 1.90 states/eV/cell. Number 22: ρ 6.97 Mg/m³, spin magnetization 0.00 μB/f.u., D(E_F) 6.13 states/eV/cell.